First-principles (PBE) data for an optimized crystal structure of LiAuCl5, as listed in Alexandria. Values from VASP.

Structure (Quantum ESPRESSO input):
```
&SYSTEM
  ibrav = 0, nat = 14, ntyp = 3
/
ATOMIC_SPECIES
Li 6.94 Li.upf
Au 196.97 Au.upf
Cl 35.45 Cl.upf
ATOMIC_POSITIONS angstrom
Li 2.015 4.232 6.499
Li 3.767 -4.232 2.166
Au 2.321 2.295 0.000
Au 0.570 -2.295 4.333
Cl 0.769 2.114 7.366
Cl 0.336 0.041 4.318
Cl -1.416 -0.041 8.650
Cl 3.767 2.354 2.166
Cl 3.262 2.114 5.633
Cl 2.521 -2.114 3.033
Cl 2.015 -2.354 6.499
Cl 7.198 0.041 0.015
Cl 5.446 -0.041 4.348
Cl 5.013 -2.114 1.300
CELL_PARAMETERS angstrom
4.643 -4.591 0.000
4.643 4.591 0.000
-3.503 0.000 8.665
```

Values from the calculation:
* total magnetic moment: 0.0000 μB/atom
* raw formation energy: -594 meV per atom